Entry from Alexandria: crystalline As4C at its relaxed geometry (GGA-PBE).

Lattice parameters (Å, degrees): 5.1169 5.1169 5.1169 114.81 114.81 99.25
Fractional positions:
As 0.2240 0.2240 0.0000
As 0.2500 0.7500 0.5000
As 0.7500 0.2500 0.5000
As 0.7760 0.7760 0.0000
C 0.5000 0.5000 0.0000

Computed properties:
* relative energy among the computed polymorphs: 2 kJ/mol of formula units
* formation enthalpy at 0 K: 952 meV/atom
* space group: I4/mmm (139)